# 1
P2SeSO: relaxed, PBE.

The structure in POSCAR format:
```
P2SeSO
1.0
3.771 0.000 0.000
0.000 7.432 0.000
0.000 0.000 3.771
Se P O S
1 2 1 1
direct
0.000 0.500 0.000
0.000 0.000 0.500
0.500 0.000 0.000
0.000 0.000 0.000
0.500 0.500 0.500
```

* ΔE_f (raw): 677 meV per atom
* polymorph energy (0 for the lowest one): 0.141 eV per atom
* DOS at the Fermi energy: 4.5 states/eV/cell
* SG: P4/mmm

***

# 2
Ho3Pu: relaxed, PBE.

The structure in POSCAR format:
```
Ho3Pu
1.0
-0.051 -0.649 -3.434
0.101 -6.010 1.134
-5.662 3.254 1.248
Ho Pu
3 1
direct
0.500 0.497 0.000
0.747 0.080 0.494
0.253 0.586 0.506
0.000 0.004 0.000
```

* E_form: 0.32 eV per formula unit
* polymorph energy (0 for the lowest one): 0.000 eV per atom
* DOS at the Fermi energy: 10.0 states/eV/cell
* SG: Imm2

***

# 3
KZrIn: relaxed, PBE.

The structure in POSCAR format:
```
KZrIn
1.0
13.801 0.000 -0.006
0.000 4.228 0.000
0.076 0.000 3.389
K In Zr
2 2 2
direct
0.352 0.750 0.718
0.648 0.250 0.282
0.169 0.250 0.234
0.831 0.750 0.766
0.062 0.750 0.744
0.938 0.250 0.256
```

* E_form: -0.15 eV per formula unit
* polymorph energy (0 for the lowest one): 0.000 eV per atom
* DOS at the Fermi energy: 4.0 states/eV/cell
* SG: P2_1/m

***

# 4
TbPr2TmTl2: relaxed, PBE.

The structure in POSCAR format:
```
TbPr2TmTl2
1.0
-0.649 -4.081 3.060
5.029 -3.353 -3.405
6.931 3.780 6.513
Pr Tl Tb Tm
4 4 2 2
direct
0.500 0.561 0.954
0.000 0.831 0.813
0.000 0.331 0.187
0.500 0.061 0.046
0.000 0.299 0.852
0.500 0.220 0.380
0.000 0.799 0.148
0.500 0.720 0.620
0.000 0.960 0.457
0.000 0.460 0.543
0.500 0.675 0.315
0.500 0.175 0.685
```

* E_form: -1.59 eV per formula unit
* DOS at the Fermi energy: 12.8 states/eV/cell
* SG: Pmc2_1

***

| no. | E (hartree per atom) |
| --- | --- |
| 1 | -0.147 |
| 2 | -0.255 |
| 3 | -0.154 |
| 4 | -0.153 |